No. 1
Material: LiTl8In4
Method: DFT, PBE-GGA
State: relaxed

```
LiTl8In4
1.0
5.264 -2.292 0.000
5.264 2.292 0.000
-3.564 0.000 15.887
Li Tl In
1 8 4
Cartesian
0.000 0.000 0.000
0.745 0.000 6.348
-0.439 0.000 14.844
4.330 0.000 2.172
2.650 0.000 13.696
4.974 0.000 8.924
7.271 0.000 4.077
5.843 0.000 12.434
8.101 0.000 7.695
-1.503 0.000 11.250
1.770 0.000 10.153
3.974 0.000 5.338
7.413 0.000 0.966
```

N(E_F)   6.334 states/eV/f.u.
Energy of formation   24 meV per atom
SG   No. 8

***

No. 2
Material: LiTlIn2
Method: DFT, PBE-GGA
State: relaxed

```
LiTlIn2
1.0
6.151 0.000 0.000
0.000 9.923 0.000
-0.013 0.000 3.303
Li Tl In
2 2 4
Cartesian
0.000 0.000 0.000
3.075 4.961 0.000
0.000 4.961 0.000
3.075 0.000 0.000
1.531 2.481 1.652
1.531 7.442 1.652
4.607 2.481 1.652
4.607 7.442 1.652
```

N(E_F)   1.356 states/eV/f.u.
Energy of formation   -92 meV per atom
SG   No. 12

***

No. 3
Material: Li3Tl3In
Method: DFT, PBE-GGA
State: relaxed

```
Li3Tl3In
1.0
7.501 0.000 0.000
0.000 7.501 0.000
0.000 0.000 7.501
Li Tl In
6 6 2
Cartesian
0.000 1.875 3.750
0.000 5.626 3.750
1.875 3.750 0.000
3.750 0.000 1.875
3.750 0.000 5.626
5.626 3.750 0.000
0.000 3.750 1.875
0.000 3.750 5.626
1.875 0.000 3.750
3.750 1.875 0.000
3.750 5.626 0.000
5.626 0.000 3.750
0.000 0.000 0.000
3.750 3.750 3.750
```

N(E_F)   4.133 states/eV/f.u.
Energy of formation   271 meV per atom
Energy relative to the lowest polymorph listed for this composition   0.403 eV per atom
SG   No. 223

***

No. 4
Material: LiTl15In4
Method: DFT, PBE-GGA
State: relaxed

```
LiTl15In4
1.0
4.960 0.000 0.000
0.000 4.960 0.000
0.000 0.000 23.815
Li Tl In
1 15 4
Cartesian
0.000 0.000 0.000
0.000 2.480 2.239
0.000 2.480 7.073
0.000 2.480 11.907
0.000 2.480 16.741
0.000 2.480 21.575
2.480 0.000 2.239
2.480 0.000 7.073
2.480 0.000 11.907
2.480 0.000 16.741
2.480 0.000 21.575
2.480 2.480 0.000
2.480 2.480 4.646
2.480 2.480 9.505
2.480 2.480 14.310
2.480 2.480 19.169
0.000 0.000 4.613
0.000 0.000 9.474
0.000 0.000 14.341
0.000 0.000 19.202
```

N(E_F)   12.924 states/eV/f.u.
Energy of formation   21 meV per atom
SG   No. 123

***

No. 5
Material: Li3TlIn6
Method: DFT, PBE-GGA
State: relaxed

```
Li3TlIn6
1.0
4.745 0.000 0.000
0.000 8.334 0.000
-4.716 0.000 12.272
Li Tl In
6 2 12
Cartesian
0.000 0.000 0.000
-2.358 4.167 6.136
-2.354 1.186 7.696
0.004 2.981 1.561
0.025 5.353 10.711
2.383 7.148 4.575
0.014 0.000 6.136
2.372 4.167 0.000
0.011 5.936 1.685
-2.347 6.565 7.821
0.001 0.315 2.923
-2.357 3.852 9.059
0.013 5.338 5.034
-2.345 7.163 11.170
2.374 1.171 1.102
0.016 2.996 7.237
2.385 4.482 3.213
0.027 8.019 9.348
2.376 1.769 4.451
0.018 2.398 10.587
```

N(E_F)   3.760 states/eV/f.u.
Energy of formation   -110 meV per atom
SG   No. 14

***

No. 6
Material: LiTl7In12
Method: DFT, PBE-GGA
State: relaxed

```
LiTl7In12
1.0
6.444 3.721 3.921
-6.444 3.721 3.921
0.000 -7.441 3.921
Li Tl In
1 7 12
Cartesian
0.000 0.000 0.000
0.000 -1.947 2.813
-1.686 0.973 2.813
1.686 0.973 2.813
0.000 0.000 5.881
-1.686 -0.973 8.949
1.686 -0.973 8.949
0.000 1.947 8.949
-1.655 -4.574 3.921
-4.789 0.854 3.921
-2.798 -1.615 5.377
1.655 -4.574 3.921
-3.134 3.721 3.921
0.000 -3.231 6.385
-2.798 1.615 6.385
2.798 -1.615 5.377
0.000 3.231 5.377
4.789 0.854 3.921
3.134 3.721 3.921
2.798 1.615 6.385
```

N(E_F)   9.397 states/eV/f.u.
Energy of formation   6 meV per atom
SG   No. 166

***

No. 7
Material: Li2TlIn4
Method: DFT, PBE-GGA
State: relaxed

```
Li2TlIn4
1.0
5.243 -3.188 0.000
5.243 3.188 0.000
0.000 0.000 10.210
Li Tl In
4 2 8
Cartesian
2.344 0.000 0.000
2.899 0.000 5.105
7.587 0.000 5.105
8.142 0.000 0.000
0.000 0.000 5.105
5.243 0.000 0.000
2.621 1.590 7.657
5.243 3.182 8.552
2.621 -1.590 2.552
5.243 0.006 3.447
5.243 -0.006 6.762
7.864 1.590 7.657
5.243 -3.182 1.657
7.864 -1.590 2.552
```

N(E_F)   2.077 states/eV/f.u.
Energy of formation   -87 meV per atom
SG   No. 64

***

No. 8
Material: Li5Tl4In2
Method: DFT, PBE-GGA
State: relaxed

```
Li5Tl4In2
1.0
7.936 0.000 0.000
0.000 18.303 0.000
0.000 0.000 3.317
Li Tl In
10 8 4
Cartesian
0.000 0.000 0.000
0.966 7.839 0.000
1.662 3.552 0.000
2.306 12.703 0.000
3.002 16.990 0.000
3.968 9.151 0.000
4.935 1.313 0.000
5.630 5.599 0.000
6.274 14.751 0.000
6.970 10.464 0.000
0.776 15.755 1.658
1.616 10.191 1.658
2.352 1.040 1.658
3.192 6.604 1.658
4.744 11.699 1.658
5.584 17.263 1.658
6.320 8.111 1.658
7.160 2.548 1.658
0.196 5.514 1.658
3.772 14.665 1.658
4.164 3.638 1.658
7.740 12.789 1.658
```

N(E_F)   3.549 states/eV/f.u.
Energy of formation   -199 meV per atom
SG   No. 55

***

No. 9
Material: LiTlIn2
Method: DFT, PBE-GGA
State: relaxed

```
LiTlIn2
1.0
4.454 0.000 0.000
0.000 4.454 0.000
0.000 0.000 9.991
Li Tl In
2 2 4
Cartesian
0.000 0.000 0.000
2.227 2.227 4.996
0.000 0.000 4.996
2.227 2.227 0.000
0.000 2.227 2.498
0.000 2.227 7.493
2.227 0.000 2.498
2.227 0.000 7.493
```

N(E_F)   1.761 states/eV/f.u.
Energy of formation   -103 meV per atom
SG   No. 139

***

No. 10
Material: LiTmTlIn
Method: DFT, PBE-GGA
State: relaxed

```
LiTmTlIn
1.0
7.238 0.000 0.000
0.000 7.238 0.000
0.000 0.000 7.238
Li Tm Tl In
4 4 4 4
Cartesian
0.000 0.000 0.000
0.000 3.619 3.619
3.619 0.000 3.619
3.619 3.619 0.000
0.000 0.000 3.619
0.000 3.619 0.000
3.619 0.000 0.000
3.619 3.619 3.619
1.809 1.809 5.428
1.809 5.428 1.809
5.428 1.809 1.809
5.428 5.428 5.428
1.809 1.809 1.809
1.809 5.428 5.428
5.428 1.809 5.428
5.428 5.428 1.809
```

N(E_F)   1.170 states/eV/f.u.
Energy of formation   -323 meV per atom
SG   No. 216

***

No. 11
Material: LiYTlIn
Method: DFT, PBE-GGA
State: relaxed

```
LiYTlIn
1.0
7.301 0.000 0.000
0.000 7.301 0.000
0.000 0.000 7.301
Li Y Tl In
4 4 4 4
Cartesian
0.000 0.000 0.000
0.000 3.650 3.650
3.650 0.000 3.650
3.650 3.650 0.000
0.000 0.000 3.650
0.000 3.650 0.000
3.650 0.000 0.000
3.650 3.650 3.650
1.825 1.825 1.825
1.825 5.476 5.476
5.476 1.825 5.476
5.476 5.476 1.825
1.825 1.825 5.476
1.825 5.476 1.825
5.476 1.825 1.825
5.476 5.476 5.476
```

N(E_F)   1.357 states/eV/f.u.
Energy of formation   -351 meV per atom
Energy relative to the lowest polymorph listed for this composition   0.016 eV per atom
SG   No. 216

***

No. 12
Material: LiYTlIn
Method: DFT, PBE-GGA
State: relaxed

```
LiYTlIn
1.0
3.883 0.000 0.000
0.000 5.031 0.000
0.000 0.000 5.040
Li Y Tl In
1 1 1 1
Cartesian
0.000 0.000 0.000
0.000 2.515 2.520
1.942 2.515 0.000
1.942 0.000 2.520
```

N(E_F)   0.689 states/eV/f.u.
Energy of formation   -367 meV per atom
Energy relative to the lowest polymorph listed for this composition   0.000 eV per atom
SG   No. 47

***

No. 13
Material: LiTlZnIn
Method: DFT, PBE-GGA
State: relaxed

```
LiTlZnIn
1.0
7.039 0.000 0.000
0.000 7.039 0.000
0.000 0.000 7.039
Li Tl Zn In
4 4 4 4
Cartesian
0.000 0.000 0.000
0.000 3.520 3.520
3.520 0.000 3.520
3.520 3.520 0.000
1.760 1.760 5.280
1.760 5.280 1.760
5.280 1.760 1.760
5.280 5.280 5.280
0.000 0.000 3.520
0.000 3.520 0.000
3.520 0.000 0.000
3.520 3.520 3.520
1.760 1.760 1.760
1.760 5.280 5.280
5.280 1.760 5.280
5.280 5.280 1.760
```

N(E_F)   0.712 states/eV/f.u.
Energy of formation   -56 meV per atom
SG   No. 216

***

No. 14
Material: LiTm6In2
Method: DFT, PBE-GGA
State: relaxed

```
LiTm6In2
1.0
-2.511 3.630 7.626
2.511 -3.630 7.626
2.511 3.630 -7.626
Li Tm In
1 6 2
Cartesian
0.000 0.000 0.000
2.511 -1.850 5.124
2.511 1.776 0.000
0.000 1.780 2.502
2.511 1.850 5.124
0.000 1.853 7.626
0.000 5.479 2.502
0.000 0.000 5.080
0.000 0.000 10.172
```

N(E_F)   9.395 states/eV/f.u.
Energy of formation   131 meV per atom
SG   No. 71

***

No. 15
Material: Li2TmIn7
Method: DFT, PBE-GGA
State: relaxed

```
Li2TmIn7
1.0
-2.279 2.279 11.501
2.279 -2.279 11.501
2.279 2.279 -11.501
Li Tm In
2 1 7
Cartesian
0.000 0.000 4.096
0.000 0.000 18.906
0.000 0.000 11.501
0.000 0.000 0.000
2.279 0.000 2.427
2.279 0.000 5.751
2.279 0.000 9.074
0.000 2.279 2.427
0.000 2.279 5.751
0.000 2.279 9.074
```

N(E_F)   5.224 states/eV/f.u.
Energy of formation   -161 meV per atom
SG   No. 139

***

No. 16
Material: LiTm7In4
Method: DFT, PBE-GGA
State: relaxed

```
LiTm7In4
1.0
7.170 -2.727 0.000
7.170 2.727 0.000
-6.627 0.000 8.793
Li Tm In
1 7 4
Cartesian
0.000 0.000 0.000
-1.224 0.000 2.954
-2.630 0.000 7.657
2.195 0.000 3.538
7.170 0.000 0.000
5.517 0.000 5.255
10.343 0.000 1.136
8.936 0.000 5.839
-0.092 0.000 5.835
4.750 0.000 1.942
2.963 0.000 6.851
7.804 0.000 2.958
```

N(E_F)   11.560 states/eV/f.u.
Energy of formation   -57 meV per atom
SG   No. 12

***

No. 17
Material: Li2Tm3In3
Method: DFT, PBE-GGA
State: relaxed

```
Li2Tm3In3
1.0
2.330 -5.376 0.000
2.330 5.376 0.000
0.000 0.000 15.373
Li Tm In
4 6 6
Cartesian
2.330 3.058 9.137
2.330 3.058 13.923
2.330 -3.058 1.450
2.330 -3.058 6.236
2.330 4.468 1.708
2.330 4.468 5.978
2.330 1.535 3.843
2.330 -1.535 11.530
2.330 -4.468 9.395
2.330 -4.468 13.664
2.330 1.643 11.530
2.330 1.241 0.727
2.330 1.241 6.960
2.330 -1.241 8.413
2.330 -1.241 14.646
2.330 -1.643 3.843
```

N(E_F)   6.376 states/eV/f.u.
Energy of formation   -293 meV per atom
SG   No. 63

***

No. 18
Material: LiTmIn2
Method: DFT, PBE-GGA
State: relaxed

```
LiTmIn2
1.0
7.195 0.000 0.000
0.000 7.195 0.000
0.000 0.000 7.195
Li Tm In
4 4 8
Cartesian
0.000 0.000 0.000
0.000 3.597 3.597
3.597 0.000 3.597
3.597 3.597 0.000
0.000 0.000 3.597
0.000 3.597 0.000
3.597 0.000 0.000
3.597 3.597 3.597
1.799 1.799 1.799
1.799 1.799 5.396
1.799 5.396 1.799
1.799 5.396 5.396
5.396 1.799 1.799
5.396 1.799 5.396
5.396 5.396 1.799
5.396 5.396 5.396
```

N(E_F)   1.421 states/eV/f.u.
Energy of formation   -363 meV per atom
Energy relative to the lowest polymorph listed for this composition   0.017 eV per atom
SG   No. 225

***

No. 19
Material: Li3Tm2In4
Method: DFT, PBE-GGA
State: relaxed

```
Li3Tm2In4
1.0
3.073 -8.166 0.000
3.073 8.166 0.000
0.000 0.000 7.976
Li Tm In
6 4 8
Cartesian
0.000 0.000 0.000
1.536 3.834 1.994
1.536 -3.834 5.982
3.073 0.000 3.988
4.609 3.834 1.994
4.609 -3.834 5.982
3.073 6.472 3.209
3.073 1.694 7.197
3.073 -1.694 0.779
3.073 -6.472 4.767
3.073 5.368 0.162
1.536 0.998 1.994
1.536 -0.998 5.982
3.073 2.797 4.150
3.073 -2.797 3.826
4.609 0.998 1.994
4.609 -0.998 5.982
3.073 -5.368 7.814
```

N(E_F)   5.873 states/eV/f.u.
Energy of formation   -300 meV per atom
SG   No. 64

***

No. 20
Material: LiTmIn2
Method: DFT, PBE-GGA
State: relaxed

```
LiTmIn2
1.0
3.394 0.000 0.000
-1.697 2.940 0.000
0.000 0.000 29.761
Li Tm In
3 3 6
Cartesian
0.000 0.000 0.000
0.000 1.960 19.841
1.697 0.980 9.920
0.000 0.000 14.881
0.000 1.960 4.960
1.697 0.980 24.801
0.000 0.000 7.590
0.000 0.000 22.171
0.000 1.960 12.251
0.000 1.960 27.431
1.697 0.980 2.330
1.697 0.980 17.511
```

N(E_F)   3.671 states/eV/f.u.
Energy of formation   -169 meV per atom
Energy relative to the lowest polymorph listed for this composition   0.211 eV per atom
SG   No. 166